[1]
! PBE In5Ga12Ge3, optimized geometry; values from VASP
! SG: Ia-3d, No. 230
! Size of the total moment (μB per cell): 0.0
&SYSTEM
  ibrav = 0, nat = 80, ntyp = 3
/
ATOMIC_SPECIES
In 114.82 In.upf
Ga 69.72 Ga.upf
Ge 72.64 Ge.upf
CELL_PARAMETERS angstrom
-7.9524 7.9524 7.9524
7.9524 -7.9524 7.9524
7.9524 7.9524 -7.9524
ATOMIC_POSITIONS crystal
In 0.0000 0.0000 0.0000
In 0.0000 0.0000 0.5000
In 0.0000 0.5000 0.0000
In 0.0000 0.5000 0.5000
In 0.1250 0.7500 0.8750
In 0.1250 0.8750 0.2500
In 0.2500 0.1250 0.8750
In 0.2500 0.6250 0.3750
In 0.3750 0.2500 0.6250
In 0.3750 0.6250 0.7500
In 0.5000 0.0000 0.0000
In 0.5000 0.0000 0.5000
In 0.5000 0.5000 0.0000
In 0.5000 0.5000 0.5000
In 0.6250 0.3750 0.2500
In 0.6250 0.7500 0.3750
In 0.7500 0.3750 0.6250
In 0.7500 0.8750 0.1250
In 0.8750 0.1250 0.7500
In 0.8750 0.2500 0.1250
Ga 0.0665 0.6395 0.4003
Ga 0.0665 0.9270 0.6663
Ga 0.0730 0.2392 0.1395
Ga 0.0730 0.3337 0.9335
Ga 0.0997 0.7392 0.6663
Ga 0.0997 0.8605 0.4335
Ga 0.1395 0.0730 0.2392
Ga 0.1395 0.5665 0.9003
Ga 0.1663 0.2392 0.5997
Ga 0.1663 0.4270 0.5665
Ga 0.2392 0.1395 0.0730
Ga 0.2392 0.5997 0.1663
Ga 0.2608 0.3337 0.9003
Ga 0.2608 0.4270 0.3605
Ga 0.3337 0.9003 0.2608
Ga 0.3337 0.9335 0.0730
Ga 0.3605 0.2608 0.4270
Ga 0.3605 0.5997 0.9335
Ga 0.4003 0.0665 0.6395
Ga 0.4003 0.8337 0.7608
Ga 0.4270 0.3605 0.2608
Ga 0.4270 0.5665 0.1663
Ga 0.4335 0.0997 0.8605
Ga 0.4335 0.8337 0.5730
Ga 0.5665 0.1663 0.4270
Ga 0.5665 0.9003 0.1395
Ga 0.5730 0.4335 0.8337
Ga 0.5730 0.6395 0.7392
Ga 0.5997 0.1663 0.2392
Ga 0.5997 0.9335 0.3605
Ga 0.6395 0.4003 0.0665
Ga 0.6395 0.7392 0.5730
Ga 0.6663 0.0665 0.9270
Ga 0.6663 0.0997 0.7392
Ga 0.7392 0.5730 0.6395
Ga 0.7392 0.6663 0.0997
Ga 0.7608 0.4003 0.8337
Ga 0.7608 0.8605 0.9270
Ga 0.8337 0.5730 0.4335
Ga 0.8337 0.7608 0.4003
Ga 0.8605 0.4335 0.0997
Ga 0.8605 0.9270 0.7608
Ga 0.9003 0.1395 0.5665
Ga 0.9003 0.2608 0.3337
Ga 0.9270 0.6663 0.0665
Ga 0.9270 0.7608 0.8605
Ga 0.9335 0.0730 0.3337
Ga 0.9335 0.3605 0.5997
Ge 0.1250 0.2500 0.3750
Ge 0.1250 0.3750 0.7500
Ge 0.2500 0.3750 0.1250
Ge 0.2500 0.8750 0.6250
Ge 0.3750 0.1250 0.2500
Ge 0.3750 0.7500 0.1250
Ge 0.6250 0.2500 0.8750
Ge 0.6250 0.8750 0.7500
Ge 0.7500 0.1250 0.3750
Ge 0.7500 0.6250 0.8750
Ge 0.8750 0.6250 0.2500
Ge 0.8750 0.7500 0.6250


[2]
! PBE InGaGe3, optimized geometry; values from VASP
! SG: Pm-3m, No. 221
! Size of the total moment (μB per cell): 0.0
&SYSTEM
  ibrav = 0, nat = 5, ntyp = 3
/
ATOMIC_SPECIES
In 114.82 In.upf
Ga 69.72 Ga.upf
Ge 72.64 Ge.upf
CELL_PARAMETERS angstrom
5.2945 0.0000 0.0000
0.0000 5.2945 0.0000
0.0000 0.0000 5.2945
ATOMIC_POSITIONS crystal
In 0.0000 0.0000 0.0000
Ga 0.5000 0.5000 0.5000
Ge 0.0000 0.0000 0.5000
Ge 0.0000 0.5000 0.0000
Ge 0.5000 0.0000 0.0000


[3]
! PBE InGa2Ge, optimized geometry; values from VASP
! SG: P4/mmm, No. 123
! Size of the total moment (μB per cell): 0.0
&SYSTEM
  ibrav = 0, nat = 4, ntyp = 3
/
ATOMIC_SPECIES
In 114.82 In.upf
Ga 69.72 Ga.upf
Ge 72.64 Ge.upf
CELL_PARAMETERS angstrom
4.6360 0.0000 0.0000
0.0000 4.6360 0.0000
0.0000 0.0000 3.9337
ATOMIC_POSITIONS crystal
In 0.0000 0.0000 0.0000
Ga 0.0000 0.5000 0.5000
Ga 0.5000 0.0000 0.5000
Ge 0.5000 0.5000 0.0000


[4]
! PBE InGa2Ge, optimized geometry; values from VASP
! SG: I-42d, No. 122
! Size of the total moment (μB per cell): 0.0
&SYSTEM
  ibrav = 0, nat = 16, ntyp = 3
/
ATOMIC_SPECIES
In 114.82 In.upf
Ga 69.72 Ga.upf
Ge 72.64 Ge.upf
CELL_PARAMETERS angstrom
6.4276 0.0000 0.0000
0.0000 6.4276 0.0000
0.0000 0.0000 10.5493
ATOMIC_POSITIONS crystal
In 0.0000 0.0000 0.0000
In 0.0000 0.5000 0.2500
In 0.5000 0.0000 0.7500
In 0.5000 0.5000 0.5000
Ga 0.2101 0.2500 0.6250
Ga 0.2500 0.7101 0.8750
Ga 0.2500 0.7899 0.3750
Ga 0.2899 0.2500 0.1250
Ga 0.7101 0.7500 0.1250
Ga 0.7500 0.2101 0.3750
Ga 0.7500 0.2899 0.8750
Ga 0.7899 0.7500 0.6250
Ge 0.0000 0.0000 0.5000
Ge 0.0000 0.5000 0.7500
Ge 0.5000 0.0000 0.2500
Ge 0.5000 0.5000 0.0000


[5]
! PBE In2GaGe, optimized geometry; values from VASP
! SG: R3m, No. 160
! Size of the total moment (μB per cell): 0.0
&SYSTEM
  ibrav = 0, nat = 12, ntyp = 3
/
ATOMIC_SPECIES
In 114.82 In.upf
Ga 69.72 Ga.upf
Ge 72.64 Ge.upf
CELL_PARAMETERS angstrom
4.4241 0.0000 0.0000
-2.2120 3.8314 0.0000
0.0000 0.0000 17.9066
ATOMIC_POSITIONS crystal
In 0.0000 0.0000 0.0000
In 0.0000 0.0000 0.1783
In 0.3333 0.6667 0.6667
In 0.3333 0.6667 0.8449
In 0.6667 0.3333 0.3333
In 0.6667 0.3333 0.5116
Ga 0.0000 0.0000 0.4262
Ga 0.3333 0.6667 0.0929
Ga 0.6667 0.3333 0.7596
Ge 0.0000 0.0000 0.5833
Ge 0.3333 0.6667 0.2500
Ge 0.6667 0.3333 0.9167


[6]
! PBE InGa2Ge, optimized geometry; values from VASP
! SG: R3m, No. 160
! Size of the total moment (μB per cell): 0.0
&SYSTEM
  ibrav = 0, nat = 12, ntyp = 3
/
ATOMIC_SPECIES
In 114.82 In.upf
Ga 69.72 Ga.upf
Ge 72.64 Ge.upf
CELL_PARAMETERS angstrom
4.0492 0.0000 0.0000
-2.0246 3.5067 0.0000
0.0000 0.0000 19.4374
ATOMIC_POSITIONS crystal
In 0.0000 0.0000 0.0000
In 0.3333 0.6667 0.6667
In 0.6667 0.3333 0.3333
Ga 0.0000 0.0000 0.5645
Ga 0.0000 0.0000 0.7663
Ga 0.3333 0.6667 0.2312
Ga 0.3333 0.6667 0.4329
Ga 0.6667 0.3333 0.0996
Ga 0.6667 0.3333 0.8978
Ge 0.0000 0.0000 0.1617
Ge 0.3333 0.6667 0.8284
Ge 0.6667 0.3333 0.4951


[7]
! PBE In2GaGe, optimized geometry; values from VASP
! SG: P4/mmm, No. 123
! Size of the total moment (μB per cell): 0.0
&SYSTEM
  ibrav = 0, nat = 4, ntyp = 3
/
ATOMIC_SPECIES
In 114.82 In.upf
Ga 69.72 Ga.upf
Ge 72.64 Ge.upf
CELL_PARAMETERS angstrom
4.9037 0.0000 0.0000
0.0000 4.9037 0.0000
0.0000 0.0000 3.8399
ATOMIC_POSITIONS crystal
In 0.0000 0.5000 0.0000
In 0.5000 0.0000 0.0000
Ga 0.0000 0.0000 0.5000
Ge 0.5000 0.5000 0.5000


[8]
! PBE InGa2Ge, optimized geometry; values from VASP
! SG: P4/mmm, No. 123
! Size of the total moment (μB per cell): 0.0
&SYSTEM
  ibrav = 0, nat = 4, ntyp = 3
/
ATOMIC_SPECIES
In 114.82 In.upf
Ga 69.72 Ga.upf
Ge 72.64 Ge.upf
CELL_PARAMETERS angstrom
3.4337 0.0000 0.0000
0.0000 3.4337 0.0000
0.0000 0.0000 7.2351
ATOMIC_POSITIONS crystal
In 0.0000 0.0000 0.0000
Ga 0.5000 0.5000 0.2886
Ga 0.5000 0.5000 0.7114
Ge 0.0000 0.0000 0.5000


no.,formation enthalpy at 0 K (meV/atom)
1,177.3
2,885.0
3,121.6
4,211.6
5,114.5
6,99.5
7,119.6
8,108.2